Compound: NiSbBr2
Source: Alexandria
Functional: PBE-GGA
Structure: optimized geometry

a = 7.077 Å, b = 7.077 Å, c = 7.077 Å
α = 90.00°, β = 90.00°, γ = 90.00°
Space group Fm-3m (No. 225)
Unique sites:
Ni1 0.000 0.000 0.000
Sb1 0.000 0.000 0.500
Br1 0.250 0.250 0.250

Properties
Total moment = 0.0 Bohr magnetons per cell
E = -11.16 eV/f.u.